1.
# Sm2SeS | Alexandria via LeMat-Bulk | PBE | relaxed
# **Energy relative to the lowest polymorph listed for this composition**: 0 meV/atom
# **Space-group type**: R-3m (166)
# **E_form (uncorrected)**: -1.9330 eV per atom
data_Sm2SeS
_chemical_formula_sum 'Sm2 Se1 S1'
_cell_length_a 4.0838
_cell_length_b 4.0838
_cell_length_c 7.1267
_cell_angle_alpha 73.35
_cell_angle_beta 73.35
_cell_angle_gamma 60.00
_space_group_name_H-M_alt 'P 1'
_space_group_IT_number 1
loop_
_space_group_symop_operation_xyz
'x,y,z'
loop_
_atom_site_label
_atom_site_type_symbol
_atom_site_fract_x
_atom_site_fract_y
_atom_site_fract_z
Se1 Se 0.5000 0.5000 0.5000
Sm1 Sm 0.7418 0.7418 0.7746
S1 S 0.0000 0.0000 0.0000
Sm2 Sm 0.2582 0.2582 0.2254

2.
# PmMg4Ir | Alexandria via LeMat-Bulk | PBE | relaxed
# **Calculated formation energy**: -1.8 eV/f.u.
# **Space-group type**: Pmma (51)
data_PmMg4Ir
_chemical_formula_sum 'Pm2 Mg8 Ir2'
_cell_length_a 4.2876
_cell_length_b 7.4262
_cell_length_c 8.6319
_cell_angle_alpha 90.00
_cell_angle_beta 90.00
_cell_angle_gamma 90.00
_space_group_name_H-M_alt 'P 1'
_space_group_IT_number 1
loop_
_space_group_symop_operation_xyz
'x,y,z'
loop_
_atom_site_label
_atom_site_type_symbol
_atom_site_fract_x
_atom_site_fract_y
_atom_site_fract_z
Ir1 Ir 0.0000 0.7874 0.2500
Mg1 Mg 0.0000 0.0000 0.5000
Pm1 Pm 0.0000 0.4069 0.2500
Mg2 Mg 0.5000 0.9614 0.7500
Pm2 Pm 0.0000 0.5931 0.7500
Ir2 Ir 0.0000 0.2126 0.7500
Mg3 Mg 0.5000 0.3028 0.9331
Mg4 Mg 0.5000 0.3028 0.5669
Mg5 Mg 0.5000 0.6972 0.4331
Mg6 Mg 0.5000 0.6972 0.0669
Mg7 Mg 0.5000 0.0386 0.2500
Mg8 Mg 0.0000 0.0000 0.0000

3.
# CrGa2Fe | Alexandria via LeMat-Bulk | PBE | relaxed
# **Calculated formation energy**: 0.2 eV/f.u.
# **Space-group type**: R3m (160)
data_CrGa2Fe
_chemical_formula_sum 'Cr1 Ga2 Fe1'
_cell_length_a 2.7186
_cell_length_b 2.7186
_cell_length_c 8.4487
_cell_angle_alpha 80.74
_cell_angle_beta 80.74
_cell_angle_gamma 60.00
_space_group_name_H-M_alt 'P 1'
_space_group_IT_number 1
loop_
_space_group_symop_operation_xyz
'x,y,z'
loop_
_atom_site_label
_atom_site_type_symbol
_atom_site_fract_x
_atom_site_fract_y
_atom_site_fract_z
Ga1 Ga 0.2507 0.2507 0.2478
Cr1 Cr 0.5002 0.5002 0.4993
Ga2 Ga 0.0826 0.0826 0.7522
Fe1 Fe 0.6664 0.6664 0.0007

4.
# Ga2FeHRh | Alexandria via LeMat-Bulk | PBE | relaxed
# **Space-group type**: P4/mmm (123)
data_Ga2FeHRh
_chemical_formula_sum 'Ga2 Fe1 H1 Rh1'
_cell_length_a 4.2071
_cell_length_b 4.2071
_cell_length_c 3.1339
_cell_angle_alpha 90.00
_cell_angle_beta 90.00
_cell_angle_gamma 90.00
_space_group_name_H-M_alt 'P 1'
_space_group_IT_number 1
loop_
_space_group_symop_operation_xyz
'x,y,z'
loop_
_atom_site_label
_atom_site_type_symbol
_atom_site_fract_x
_atom_site_fract_y
_atom_site_fract_z
Rh1 Rh 0.5000 0.5000 0.5000
H1 H 0.0000 0.0000 0.0000
Ga1 Ga 0.0000 0.5000 0.0000
Ga2 Ga 0.5000 0.0000 0.0000
Fe1 Fe 0.0000 0.0000 0.5000

5.
# Tb2Tm3Hg3 | Alexandria via LeMat-Bulk | PBE | relaxed
# **Calculated formation energy**: -2.8 eV/f.u.
# **Space-group type**: Immm (71)
data_Tb2Tm3Hg3
_chemical_formula_sum 'Tb2 Tm3 Hg3'
_cell_length_a 3.7184
_cell_length_b 5.2329
_cell_length_c 11.4154
_cell_angle_alpha 103.25
_cell_angle_beta 99.37
_cell_angle_gamma 90.00
_space_group_name_H-M_alt 'P 1'
_space_group_IT_number 1
loop_
_space_group_symop_operation_xyz
'x,y,z'
loop_
_atom_site_label
_atom_site_type_symbol
_atom_site_fract_x
_atom_site_fract_y
_atom_site_fract_z
Tm1 Tm 0.3796 0.3796 0.7591
Tm2 Tm 0.6204 0.6204 0.2409
Tm3 Tm 0.5000 0.0000 0.0000
Tb1 Tb 0.2682 0.7682 0.5364
Hg1 Hg 0.0000 0.5000 0.0000
Tb2 Tb 0.7318 0.2318 0.4636
Hg2 Hg 0.1167 0.1167 0.2334
Hg3 Hg 0.8833 0.8833 0.7667

6.
# Y2AgRuC | Alexandria via LeMat-Bulk | PBE | relaxed
# **Calculated formation energy**: -1.9 eV/f.u.
# **Space-group type**: P4/mmm (123)
data_Y2AgRuC
_chemical_formula_sum 'Y2 Ag1 Ru1 C1'
_cell_length_a 5.0160
_cell_length_b 5.0160
_cell_length_c 3.8948
_cell_angle_alpha 90.00
_cell_angle_beta 90.00
_cell_angle_gamma 90.00
_space_group_name_H-M_alt 'P 1'
_space_group_IT_number 1
loop_
_space_group_symop_operation_xyz
'x,y,z'
loop_
_atom_site_label
_atom_site_type_symbol
_atom_site_fract_x
_atom_site_fract_y
_atom_site_fract_z
Ag1 Ag 0.5000 0.5000 0.5000
Y1 Y 0.5000 0.0000 0.0000
Ru1 Ru 0.0000 0.0000 0.5000
Y2 Y 0.0000 0.5000 0.0000
C1 C 0.0000 0.0000 0.0000

no.,total energy (eV per cell),DOS(E_F) (states/eV per cell)
1,-24.78,1.29
2,-43.61,6.99
3,-23.94,2.73
4,-26.04,2.03
5,-26.39,7.31
6,-36.21,2.34